Record 1
## CaIn2W (PBEsol)

Data for a relaxed CaIn2W crystal.

Computed properties:
**Uncorrected energy**: -5.0251 eV/atom
**Energy of formation**: 1.81 eV per formula unit
**Symmetry**: Cmm2
**Magnetization**: 0.000 Bohr magnetons per cell
**Energy above the most stable polymorph in this dataset**: 64 meV per atom

Unit cell a=3.0126 b=3.0126 c=9.5620 alpha=90.00 beta=90.00 gamma=98.57
Positions (direct):
Ca1 0.5000 0.5000 0.2663
In1 0.0000 0.0000 0.9891
In2 0.5000 0.5000 0.7317
W1 0.0000 0.0000 0.5129

***

Record 2
## CaInW (PBEsol)

Data for a relaxed CaInW crystal.

Computed properties:
**Uncorrected energy**: -5.6785 eV/atom
**Energy of formation**: 1.89 eV per formula unit
**Symmetry**: P3m1
**Magnetization**: 0.000 Bohr magnetons per cell
**Energy above the most stable polymorph in this dataset**: 174 meV per atom

Unit cell a=3.0843 b=3.0843 c=7.5971 alpha=90.00 beta=90.00 gamma=120.00
Positions (direct):
Ca1 0.0000 0.0000 0.0119
W1 0.6667 0.3333 0.3411
In1 0.3333 0.6667 0.6470

***

Record 3
## Ca2YIn (PBEsol)

Data for a relaxed Ca2YIn crystal.

Computed properties:
**Uncorrected energy**: -3.7098 eV/atom
**Energy of formation**: -0.77 eV per formula unit
**Symmetry**: I-4m2
**Magnetization**: 0.000 Bohr magnetons per cell

Unit cell a=5.4901 b=5.4987 c=5.4901 alpha=60.05 beta=90.00 gamma=119.95
Positions (direct):
Y1 0.7500 0.5000 0.7500
Ca1 0.0000 0.0000 0.0000
Ca2 0.2500 0.5000 0.2500
In1 0.5000 0.0000 0.5000

***

Record 4
## Ca3YIn (PBEsol)

Data for a relaxed Ca3YIn crystal.

Computed properties:
**Uncorrected energy**: -2.3941 eV/atom
**Energy of formation**: 4.23 eV per formula unit
**Symmetry**: Pm-3m
**Magnetization**: 0.904 Bohr magnetons per cell

Unit cell a=5.7511 b=5.7511 c=5.7511 alpha=90.00 beta=90.00 gamma=90.00
Site moments in Bohr magnetons follow the coordinates.
Positions (direct):
Y1 0.0000 0.0000 0.0000  0.41
Ca1 0.0000 0.5000 0.0000  0.06
Ca2 0.0000 0.0000 0.5000  0.06
Ca3 0.5000 0.0000 0.0000  0.06
In1 0.5000 0.5000 0.5000  -0.03

***

Record 5
## CaYIn (PBEsol)

Data for a relaxed CaYIn crystal.

Computed properties:
**Uncorrected energy**: -4.4223 eV/atom
**Energy of formation**: -1.33 eV per formula unit
**Symmetry**: P6_3/mmc
**Magnetization**: 0.000 Bohr magnetons per cell
**Energy above the most stable polymorph in this dataset**: 0 meV per atom

Unit cell a=5.3452 b=5.3452 c=6.7668 alpha=90.00 beta=90.00 gamma=120.00
Positions (direct):
Y1 0.6667 0.3333 0.2500
Y2 0.3333 0.6667 0.7500
Ca1 0.0000 0.0000 0.0000
Ca2 0.0000 0.0000 0.5000
In1 0.6667 0.3333 0.7500
In2 0.3333 0.6667 0.2500

***

Record 6
## Ca2YIn (PBEsol)

Data for a relaxed Ca2YIn crystal.

Computed properties:
**Uncorrected energy**: -3.7541 eV/atom
**Energy of formation**: -0.95 eV per formula unit
**Symmetry**: P4mm
**Magnetization**: 0.008 Bohr magnetons per cell

Unit cell a=3.6636 b=3.6636 c=9.5906 alpha=90.00 beta=90.00 gamma=90.00
Positions (direct):
Y1 0.5000 0.5000 0.7035
Ca1 0.0000 0.0000 0.9873
Ca2 0.5000 0.5000 0.3001
In1 0.0000 0.0000 0.5091

***

Record 7
## Ca2YIn (PBEsol)

Data for a relaxed Ca2YIn crystal.

Computed properties:
**Uncorrected energy**: -3.7740 eV/atom
**Energy of formation**: -1.02 eV per formula unit
**Symmetry**: P4/mmm
**Magnetization**: 0.000 Bohr magnetons per cell

Unit cell a=4.7811 b=4.7811 c=5.1466 alpha=90.00 beta=90.00 gamma=90.00
Positions (direct):
Y1 0.0000 0.0000 0.5000
Ca1 0.0000 0.5000 0.0000
Ca2 0.5000 0.0000 0.0000
In1 0.5000 0.5000 0.5000

***

Record 8
## CaYIn (PBEsol)

Data for a relaxed CaYIn crystal.

Computed properties:
**Uncorrected energy**: -4.1503 eV/atom
**Energy of formation**: -0.51 eV per formula unit
**Symmetry**: P3m1
**Magnetization**: 0.001 Bohr magnetons per cell
**Energy above the most stable polymorph in this dataset**: 272 meV per atom

Unit cell a=3.6121 b=3.6121 c=8.0949 alpha=90.00 beta=90.00 gamma=120.00
Positions (direct):
Y1 0.3333 0.6667 0.3637
Ca1 0.0000 0.0000 0.9731
In1 0.6667 0.3333 0.6631